Here is Li4Mn2V3Sb3O16 after structural relaxation from the Alexandria database. Energies are from PBE+U.

Magnetization ... 15.89 μB per formula unit
Calculated total energy ... -6.70 eV per atom

Lattice parameters (Å, degrees): 6.1716 6.1716 10.0490 90.11 90.11 59.93
Sites, in units of the cell vectors:
Li1 0.0000 0.0000 0.0000
Li2 0.0043 0.0043 0.5139
Li3 0.3325 0.3325 0.6376
Li4 0.6708 0.6708 0.1016
Mn1 0.3206 0.3206 0.9872
Mn2 0.6517 0.6517 0.5250
V1 0.1652 0.1652 0.2883
V2 0.3316 0.8245 0.7908
V3 0.8245 0.3316 0.7908
Sb1 0.1654 0.6600 0.2886
Sb2 0.6600 0.1654 0.2886
Sb3 0.8254 0.8254 0.7896
O1 0.0289 0.4851 0.1816
O2 0.1449 0.6854 0.9019
O3 0.1475 0.1475 0.8967
O4 0.3018 0.8404 0.3950
O5 0.3354 0.3354 0.4002
O6 0.4851 0.0289 0.1816
O7 0.4850 0.4850 0.1770
O8 0.5117 0.5117 0.6792
O9 0.5136 0.9642 0.6752
O10 0.6686 0.6686 0.9023
O11 0.6854 0.1449 0.9019
O12 0.8404 0.3018 0.3950
O13 0.8437 0.8437 0.4000
O14 0.9642 0.5136 0.6752
O15 0.9886 0.9886 0.6903
O16 0.9930 0.9930 0.1843